Entry 1:
Entry from Alexandria: ZrZnCo2I after structural relaxation (PBE).

Geometry as POSCAR:
```
ZrZnCo2I
1.0
4.840 0.000 0.000
0.000 4.840 0.000
0.000 0.000 5.590
Zr Zn Co I
1 1 2 1
direct
0.000 0.000 0.000 Zr
0.500 0.500 0.500 Zn
0.000 0.500 0.000 Co
0.500 0.000 0.000 Co
0.000 0.000 0.500 I
```

Output
Crystal system: tetragonal



Entry 2:
Entry from Alexandria: ZrCoI3 after structural relaxation (PBE).

Geometry as POSCAR:
```
ZrCoI3
1.0
5.173 0.000 0.000
0.000 5.173 0.000
0.000 0.000 5.173
Zr Co I
1 1 3
direct
0.000 0.000 0.000 Zr
0.500 0.500 0.500 Co
0.000 0.500 0.500 I
0.500 0.000 0.500 I
0.500 0.500 0.000 I
```

Output
Crystal system: cubic



Entry 3:
Entry from Alexandria: Zr4CoI5 after structural relaxation (PBE).

Geometry as POSCAR:
```
Zr4CoI5
1.0
9.252 -1.944 0.000
9.252 1.944 0.000
-1.863 0.000 8.286
Zr Co I
4 1 5
direct
0.000 0.000 0.187 Zr
0.000 0.000 0.813 Zr
0.365 0.365 0.933 Zr
0.635 0.635 0.067 Zr
0.500 0.500 0.000 Co
0.164 0.164 0.337 I
0.169 0.169 0.827 I
0.500 0.500 0.500 I
0.831 0.831 0.173 I
0.836 0.836 0.663 I
```

Output
Crystal system: monoclinic



Entry 4:
Entry from Alexandria: Zr3CoI after structural relaxation (PBE).

Geometry as POSCAR:
```
Zr3CoI
1.0
4.925 0.000 0.000
0.000 4.925 0.000
0.000 0.000 4.925
Zr Co I
3 1 1
direct
0.000 0.000 0.500 Zr
0.000 0.500 0.000 Zr
0.500 0.000 0.000 Zr
0.000 0.000 0.000 Co
0.500 0.500 0.500 I
```

Output
Crystal system: cubic



Entry 5:
Entry from Alexandria: ZrCoI3 after structural relaxation (PBE).

Geometry as POSCAR:
```
ZrCoI3
1.0
5.746 0.000 0.000
0.000 5.746 0.000
0.000 0.000 5.746
Zr Co I
1 1 3
direct
0.000 0.000 0.000 Zr
0.500 0.500 0.500 Co
0.000 0.000 0.500 I
0.000 0.500 0.000 I
0.500 0.000 0.000 I
```

Output
Crystal system: cubic



Entry 6:
Entry from Alexandria: ZrCoI after structural relaxation (PBE).

Geometry as POSCAR:
```
ZrCoI
1.0
1.908 1.102 11.821
-1.908 1.102 11.821
0.000 -2.203 11.821
Zr Co I
2 2 2
direct
0.048 0.048 0.048 Zr
0.952 0.952 0.952 Zr
0.333 0.333 0.333 Co
0.667 0.667 0.667 Co
0.225 0.225 0.225 I
0.775 0.775 0.775 I
```

Output
Crystal system: trigonal



Q: Which calculated volume values were calculated for the entries above? A: 26.2, 27.7, 29.8, 23.9, 37.9, 24.8, in A^3/atom.
Q: Which energy relative to the elements, uncorrected values were calculated for the entries above? A: 1167, 482, -658, 208, 420, -572, in meV per atom.